! KAs2SeO | the Alexandria database | GGA-PBEsol | relaxed; values from VASP
&SYSTEM
  ibrav = 0, nat = 5, ntyp = 4
/
ATOMIC_SPECIES
K 39.10 K.upf
As 74.92 As.upf
Se 78.96 Se.upf
O 16.00 O.upf
CELL_PARAMETERS angstrom
4.385 0.000 0.000
0.000 4.385 0.000
0.000 0.000 5.027
ATOMIC_POSITIONS crystal
K 0.000 0.000 0.000
As 0.000 0.500 0.500
As 0.500 0.000 0.500
Se 0.500 0.500 0.000
O 0.500 0.500 0.500
! formation energy (no corrections)	66	meV/atom
! uncorrected energy	-4.0231	eV/atom
! crystal system	tetragonal
! Fermi-level density of states	4.70	states/eV/cell